Crystalline Tm2HfZr at its relaxed geometry, computed with PBE.

The energy above the most stable polymorph in this dataset comes out at 13.7 meV/atom. For the formation energy, the calculation gives 0.1239 eV/atom. Its total energy is -6.74 eV/atom. The value obtained for the calculated volume is 102 Å³/f.u.

Lattice parameters (Å, degrees): 3.296 3.296 11.061 81.43 81.43 60.00
Fractional positions:
Hf: 0.000 0.000 0.000
Zr: 0.500 0.500 0.500
Tm: 0.251 0.251 0.247
Tm: 0.749 0.749 0.753